Compound: CaSi2SnHg
Source: Alexandria
Functional: PBE
Structure: relaxed

Calculated values
- D(E_F) (states/eV per atom) = 0.62
- formation energy (no corrections) (meV per atom) = 620.1
- uncorrected energy (eV/atom) = -2.81

a = 5.115 Å, b = 5.631 Å, c = 5.115 Å
α = 90.00°, β = 90.00°, γ = 90.00°
Element x y z (fractional)
Ca 0.500 0.500 0.500
Si 0.000 0.000 0.500
Si 0.500 0.000 0.000
Hg 0.000 0.000 0.000
Sn 0.000 0.500 0.000



Compound: Sr2NiOsPd
Source: Alexandria
Functional: PBE
Structure: relaxed

Calculated values
- D(E_F) (states/eV per atom) = 0.96
- DFT formation energy (eV/atom) = 0.65
- uncorrected energy (eV/atom) = -4.46

a = 5.775 Å, b = 4.421 Å, c = 5.775 Å
α = 90.00°, β = 90.00°, γ = 90.00°
Element x y z (fractional)
Sr 0.000 0.000 0.500
Sr 0.500 0.000 0.000
Os 0.000 0.000 0.000
Pd 0.500 0.500 0.500
Ni 0.000 0.500 0.000



Compound: Pr3InAs2Rh9
Source: Alexandria
Functional: PBE
Structure: relaxed

Calculated values
- D(E_F) (states/eV per atom) = 0.48
- DFT formation energy (eV/atom) = -0.26
- uncorrected energy (eV/atom) = -6.43

a = 7.068 Å, b = 7.068 Å, c = 7.208 Å
α = 90.00°, β = 90.00°, γ = 120.00°
Element x y z (fractional)
Pr 0.333 0.667 0.681
Pr 0.000 0.000 0.000
Pr 0.667 0.333 0.319
In 0.000 0.000 0.500
As 0.333 0.667 0.148
As 0.667 0.333 0.852
Rh 0.808 0.192 0.636
Rh 0.808 0.616 0.636
Rh 0.384 0.192 0.636
Rh 0.616 0.808 0.364
Rh 0.192 0.384 0.364
Rh 0.192 0.808 0.364
Rh 0.500 0.000 0.000
Rh 0.000 0.500 0.000
Rh 0.500 0.500 0.000



Compound: LiIn2Au2
Source: Alexandria
Functional: PBE
Structure: relaxed

Calculated values
- excess energy over the best structure of this formula in the dataset (meV/atom) = 180
- D(E_F) (states/eV per atom) = 0.37
- DFT formation energy (eV/atom) = -0.18
- uncorrected energy (eV/atom) = -2.96

a = 4.406 Å, b = 4.406 Å, c = 6.954 Å
α = 71.53°, β = 71.53°, γ = 90.00°
Element x y z (fractional)
Li 0.000 0.000 0.000
Au 0.393 0.393 0.214
Au 0.607 0.607 0.786
In 0.750 0.250 0.500
In 0.250 0.750 0.500



Compound: RuPtW2
Source: Alexandria
Functional: PBE
Structure: relaxed

Calculated values
- excess energy over the best structure of this formula in the dataset (meV/atom) = 331
- D(E_F) (states/eV per atom) = 1.16
- DFT formation energy (eV/atom) = 0.16
- uncorrected energy (eV/atom) = -10.15

a = 3.371 Å, b = 3.371 Å, c = 5.522 Å
α = 90.00°, β = 90.00°, γ = 90.00°
Element x y z (fractional)
Pt 0.500 0.500 0.250
Ru 0.500 0.500 0.750
W 0.000 0.000 0.990
W 0.000 0.000 0.510



Compound: KTa2Se
Source: Alexandria
Functional: PBE
Structure: relaxed

Calculated values
- D(E_F) (states/eV per atom) = 0.97
- formation energy (no corrections) (meV per atom) = 1053.1
- uncorrected energy (eV/atom) = -6.02

a = 4.904 Å, b = 4.904 Å, c = 4.904 Å
α = 119.93°, β = 119.93°, γ = 90.11°
Element x y z (fractional)
K 0.500 0.500 0.000
Se 0.750 0.250 0.500
Ta 0.000 0.000 0.000
Ta 0.250 0.750 0.500



Compound: SrAl2Si2
Source: Alexandria
Functional: PBE
Structure: relaxed

Calculated values
- D(E_F) (states/eV per atom) = 0.33
- formation energy (no corrections) (meV per atom) = 44.0
- uncorrected energy (eV/atom) = -3.96

a = 7.782 Å, b = 7.782 Å, c = 3.292 Å
α = 90.00°, β = 90.00°, γ = 90.00°
Element x y z (fractional)
Sr 0.000 0.000 0.000
Sr 0.500 0.500 0.000
Si 0.159 0.659 0.500
Si 0.659 0.841 0.500
Si 0.841 0.341 0.500
Si 0.341 0.159 0.500
Al 0.379 0.879 0.000
Al 0.879 0.621 0.000
Al 0.621 0.121 0.000
Al 0.121 0.379 0.000



Compound: Cs2PtAuF6
Source: Alexandria
Functional: PBE
Structure: relaxed

Calculated values
- D(E_F) (states/eV per atom) = 0.00
- formation energy (no corrections) (meV per atom) = -1752.0
- uncorrected energy (eV/atom) = -3.98

a = 6.861 Å, b = 6.861 Å, c = 6.569 Å
α = 58.52°, β = 58.52°, γ = 90.00°
Element x y z (fractional)
Cs 0.750 0.250 0.500
Cs 0.250 0.750 0.500
Au 0.000 0.000 0.000
Pt 0.500 0.500 0.000
F 0.233 0.233 0.534
F 0.767 0.767 0.466
F 0.293 0.293 0.000
F 0.707 0.707 0.000
F 0.707 0.293 0.000
F 0.293 0.707 0.000



Compound: CaBS
Source: Alexandria
Functional: PBE
Structure: relaxed

Calculated values
- excess energy over the best structure of this formula in the dataset (meV/atom) = 159
- formation energy (no corrections) (meV per atom) = -802.6
- uncorrected energy (eV/atom) = -5.07

a = 3.869 Å, b = 4.028 Å, c = 7.632 Å
α = 95.47°, β = 99.51°, γ = 90.65°
Element x y z (fractional)
Ca 0.647 0.239 0.050
Ca 0.780 0.924 0.584
B 0.168 0.667 0.903
B 0.175 0.759 0.096
S 0.196 0.003 0.308
S 0.284 0.460 0.697



Compound: Na2Ca2Si3O9
Source: Alexandria
Functional: PBE
Structure: relaxed

Calculated values
- D(E_F) (states/eV per atom) = 0.00
- formation energy (no corrections) (meV per atom) = -2734.0
- uncorrected energy (eV/atom) = -6.95

a = 7.607 Å, b = 7.607 Å, c = 7.607 Å
α = 89.22°, β = 89.22°, γ = 89.22°
Element x y z (fractional)
Na 0.451 0.451 0.058
Na 0.058 0.451 0.451
Na 0.451 0.058 0.451
Na 0.747 0.747 0.747
Ca 0.003 0.003 0.485
Ca 0.485 0.003 0.003
Ca 0.003 0.485 0.003
Ca 0.003 0.003 0.003
Si 0.719 0.719 0.260
Si 0.260 0.719 0.719
Si 0.719 0.260 0.719
Si 0.285 0.285 0.744
Si 0.744 0.285 0.285
Si 0.285 0.744 0.285
O 0.797 0.797 0.437
O 0.437 0.797 0.797
O 0.797 0.437 0.797
O 0.205 0.205 0.568
O 0.568 0.205 0.205
O 0.205 0.568 0.205
O 0.794 0.794 0.074
O 0.074 0.794 0.794
O 0.794 0.074 0.794
O 0.215 0.215 0.932
O 0.932 0.215 0.215
O 0.215 0.932 0.215
O 0.249 0.751 0.501
O 0.501 0.249 0.751
O 0.751 0.501 0.249
O 0.501 0.751 0.249
O 0.249 0.501 0.751
O 0.751 0.249 0.501



Compound: K3Sn2Sb3
Source: Alexandria
Functional: PBE
Structure: relaxed

Calculated values
- excess energy over the best structure of this formula in the dataset (meV/atom) = 55
- D(E_F) (states/eV per atom) = 0.43
- formation energy (no corrections) (meV per atom) = -250.9
- uncorrected energy (eV/atom) = -3.21

a = 5.253 Å, b = 7.785 Å, c = 15.533 Å
α = 90.00°, β = 90.00°, γ = 109.72°
Element x y z (fractional)
K 0.641 0.281 0.004
K 0.359 0.719 0.504
K 0.641 0.281 0.496
K 0.359 0.719 0.996
K 0.459 0.918 0.250
K 0.541 0.082 0.750
Sn 0.834 0.668 0.655
Sn 0.166 0.332 0.155
Sn 0.834 0.668 0.845
Sn 0.166 0.332 0.345
Sb 0.979 0.958 0.092
Sb 0.021 0.042 0.592
Sb 0.979 0.958 0.408
Sb 0.021 0.042 0.908
Sb 0.727 0.455 0.250
Sb 0.273 0.545 0.750



Compound: GaNiOs2Br
Source: Alexandria
Functional: PBE
Structure: relaxed

Calculated values
- D(E_F) (states/eV per atom) = 1.12
- formation energy (no corrections) (meV per atom) = 1891.3
- uncorrected energy (eV/atom) = -4.70

a = 4.631 Å, b = 4.244 Å, c = 4.631 Å
α = 90.00°, β = 90.00°, γ = 90.00°
Element x y z (fractional)
Ni 0.000 0.500 0.000
Os 0.000 0.000 0.500
Os 0.500 0.000 0.000
Ga 0.500 0.500 0.500
Br 0.000 0.000 0.000



Compound: TaIn2Ag
Source: Alexandria
Functional: PBE
Structure: relaxed

Calculated values
- excess energy over the best structure of this formula in the dataset (meV/atom) = 217
- D(E_F) (states/eV per atom) = 0.67
- DFT formation energy (eV/atom) = 0.37
- uncorrected energy (eV/atom) = -4.68

a = 5.864 Å, b = 5.864 Å, c = 5.864 Å
α = 150.06°, β = 124.50°, γ = 64.34°
Element x y z (fractional)
In 0.008 0.008 0.000
In 0.492 0.492 0.000
Ag 0.250 0.750 0.500
Ta 0.750 0.250 0.500



Compound: SrIn12Au6
Source: Alexandria
Functional: PBE
Structure: relaxed

Calculated values
- D(E_F) (states/eV per atom) = 0.47
- DFT formation energy (eV/atom) = -0.19
- uncorrected energy (eV/atom) = -3.05

a = 8.429 Å, b = 8.429 Å, c = 8.429 Å
α = 107.51°, β = 107.51°, γ = 107.51°
Element x y z (fractional)
Sr 0.000 0.000 0.000
In 0.891 0.109 0.500
In 0.807 0.555 0.555
In 0.555 0.555 0.807
In 0.445 0.193 0.445
In 0.445 0.445 0.193
In 0.193 0.445 0.445
In 0.109 0.500 0.891
In 0.500 0.891 0.109
In 0.109 0.891 0.500
In 0.891 0.500 0.109
In 0.500 0.109 0.891
In 0.555 0.807 0.555
Au 0.797 0.251 0.251
Au 0.251 0.251 0.797
Au 0.251 0.797 0.251
Au 0.749 0.749 0.203
Au 0.203 0.749 0.749
Au 0.749 0.203 0.749



Compound: Rb4La3InO8
Source: Alexandria
Functional: PBE
Structure: relaxed

Calculated values
- D(E_F) (states/eV per atom) = 0.00
- formation energy (no corrections) (meV per atom) = -2286.9
- uncorrected energy (eV/atom) = -6.10

a = 7.335 Å, b = 7.830 Å, c = 7.336 Å
α = 117.93°, β = 120.00°, γ = 90.00°
Element x y z (fractional)
Rb 0.500 0.000 0.000
Rb 0.500 0.000 0.500
Rb 0.000 0.000 0.000
Rb 0.000 0.000 0.500
La 0.500 0.500 0.000
La 0.500 0.500 0.500
La 0.000 0.500 0.500
In 0.000 0.500 0.000
O 0.221 0.682 0.961
O 0.221 0.682 0.441
O 0.274 0.321 0.547
O 0.741 0.682 0.961
O 0.259 0.318 0.039
O 0.726 0.679 0.453
O 0.779 0.318 0.559
O 0.779 0.318 0.039



Compound: CsTl2TeSe
Source: Alexandria
Functional: PBE
Structure: relaxed

Calculated values
- excess energy over the best structure of this formula in the dataset (meV/atom) = 0
- D(E_F) (states/eV per atom) = 0.20
- formation energy (no corrections) (meV per atom) = -562.8
- uncorrected energy (eV/atom) = -3.01

a = 5.534 Å, b = 8.906 Å, c = 8.343 Å
α = 89.86°, β = 90.00°, γ = 90.00°
Element x y z (fractional)
Cs 0.750 0.285 0.995
Cs 0.250 0.715 0.005
Tl 0.250 0.662 0.508
Tl 0.250 0.071 0.340
Tl 0.750 0.929 0.660
Tl 0.750 0.338 0.492
Te 0.750 0.936 0.281
Te 0.250 0.064 0.719
Se 0.750 0.614 0.715
Se 0.250 0.386 0.285



Compound: Tl6InS8
Source: Alexandria
Functional: PBE
Structure: relaxed

Calculated values
- D(E_F) (states/eV per atom) = 0.56
- formation energy (no corrections) (meV per atom) = -75.5
- uncorrected energy (eV/atom) = -3.41

a = 7.351 Å, b = 7.351 Å, c = 7.351 Å
α = 90.51°, β = 90.51°, γ = 90.51°
Element x y z (fractional)
Tl 0.635 0.369 0.877
Tl 0.369 0.877 0.635
Tl 0.877 0.635 0.369
Tl 0.365 0.631 0.123
Tl 0.631 0.123 0.365
Tl 0.123 0.365 0.631
In 0.000 0.000 0.000
S 0.661 0.661 0.661
S 0.339 0.339 0.339
S 0.690 0.843 0.124
S 0.843 0.124 0.690
S 0.124 0.690 0.843
S 0.310 0.157 0.876
S 0.157 0.876 0.310
S 0.876 0.310 0.157



Compound: Ac3Ni2Ge3
Source: Alexandria
Functional: PBE
Structure: relaxed

Calculated values
- excess energy over the best structure of this formula in the dataset (meV/atom) = 48
- D(E_F) (states/eV per atom) = 0.88
- DFT formation energy (eV/atom) = -0.61
- uncorrected energy (eV/atom) = -5.32

a = 4.286 Å, b = 6.319 Å, c = 15.250 Å
α = 90.00°, β = 90.00°, γ = 109.82°
Element x y z (fractional)
Ac 0.924 0.849 0.397
Ac 0.076 0.151 0.897
Ac 0.924 0.849 0.103
Ac 0.076 0.151 0.603
Ac 0.640 0.281 0.250
Ac 0.360 0.719 0.750
Ni 0.777 0.553 0.898
Ni 0.223 0.447 0.398
Ni 0.777 0.553 0.602
Ni 0.223 0.447 0.102
Ge 0.661 0.322 0.460
Ge 0.339 0.678 0.960
Ge 0.661 0.322 0.040
Ge 0.339 0.678 0.540
Ge 0.338 0.677 0.250
Ge 0.662 0.323 0.750



Compound: IrRh3
Source: Alexandria
Functional: PBE
Structure: relaxed

Calculated values
- D(E_F) (states/eV per atom) = 1.33
- DFT formation energy (eV/atom) = 0.00
- uncorrected energy (eV/atom) = -7.73

a = 3.847 Å, b = 3.847 Å, c = 4.713 Å
α = 114.09°, β = 114.09°, γ = 90.00°
Element x y z (fractional)
Ir 0.000 0.000 0.000
Rh 0.250 0.750 0.500
Rh 0.750 0.250 0.500
Rh 0.500 0.500 0.000



Compound: Al2VFe
Source: Alexandria
Functional: PBE
Structure: relaxed

Calculated values
- D(E_F) (states/eV per atom) = 1.28
- DFT formation energy (eV/atom) = -0.25
- uncorrected energy (eV/atom) = -6.52

a = 2.816 Å, b = 2.816 Å, c = 6.589 Å
α = 90.00°, β = 90.00°, γ = 90.00°
Element x y z (fractional)
Al 0.000 0.000 0.783
Al 0.000 0.000 0.217
Fe 0.500 0.500 0.000
V 0.500 0.500 0.500



Compound: BeSi2H
Source: Alexandria
Functional: PBE
Structure: relaxed

Calculated values
- excess energy over the best structure of this formula in the dataset (meV/atom) = 118
- uncorrected energy (eV/atom) = -4.30

a = 3.890 Å, b = 3.953 Å, c = 7.415 Å
α = 94.38°, β = 94.04°, γ = 99.01°
Element x y z (fractional)
Be 0.834 0.317 0.920
Be 0.416 0.531 0.087
Si 0.027 0.077 0.472
Si 0.086 0.611 0.654
Si 0.623 0.772 0.835
Si 0.487 0.990 0.288
H 0.637 0.326 0.193
H 0.097 0.300 0.061